Record 1
This record from the Alexandria database describes a geometry-optimized KCdBi structure. The functional is PBE.

Properties
**Total DFT energy (no corrections)**: -25.49 eV per cell

Lattice parameters (Å, degrees): 4.758 4.758 18.525 90.00 90.00 90.00
Space group I4/mmm (No. 139)
Asymmetric unit:
K 0.000 0.000 0.176 [4 per cell]
Cd 0.000 0.500 0.000 [4 per cell]
Bi 0.000 0.000 0.389 [4 per cell]



Record 2
This record from the Alexandria database describes a geometry-optimized KCd3Bi structure. The functional is PBE.

Properties
**E above lowest polymorph**: 0.5667 eV per atom
**Total DFT energy (no corrections)**: -3.97 eV per cell

Lattice parameters (Å, degrees): 5.962 5.962 5.962 90.00 90.00 90.00
Space group Pm-3m (No. 221)
Asymmetric unit:
K 0.000 0.000 0.000 [1 per cell]
Cd 0.000 0.000 0.500 [3 per cell]
Bi 0.500 0.500 0.500 [1 per cell]



Record 3
This record from the Alexandria database describes a geometry-optimized KCdBi3 structure. The functional is PBE.

Properties
**E above lowest polymorph**: 0.8132 eV per atom
**Total DFT energy (no corrections)**: -8.53 eV per cell

Lattice parameters (Å, degrees): 5.985 5.985 5.985 90.00 90.00 90.00
Space group Pm-3m (No. 221)
Asymmetric unit:
K 0.000 0.000 0.000 [1 per cell]
Cd 0.500 0.500 0.500 [1 per cell]
Bi 0.000 0.000 0.500 [3 per cell]



Number 1: energy of formation from the pure elements -160 meV per atom. Number 2: energy of formation from the pure elements 750 meV per atom. Number 3: energy of formation from the pure elements 1026 meV per atom.